A plane-wave DFT calculation with PBE was carried out for Ag3C4 after structural relaxation.

a b c (Å): 4.395 4.395 4.395
angles (deg): 90.00 90.00 90.00
Space group P-43m (No. 215)
Inequivalent atoms, fractional coordinates:
Ag  0.000  0.000  0.500
C  0.375  0.375  0.375

Final energy = -4.9553 eV per atom
Crystal system = cubic
Energy relative to the elements = 1537.5 meV per atom
Calculated volume = 85 Å³ per cell
Spin magnetization = 0.000 Bohr magnetons per cell
Fermi-level density of states = 3.46 states/eV/f.u.
Theoretical density = 7.3 g cm⁻³

A plane-wave DFT calculation with PBE was carried out for Li2HgP after structural relaxation.

a b c (Å): 2.977 4.482 4.842
angles (deg): 90.00 90.00 90.00
Space group Pmm2 (No. 25)
Inequivalent atoms, fractional coordinates:
Li  0.000  0.000  0.000
Li  0.000  0.500  0.365
Hg  0.500  0.000  0.508
P  0.500  0.500  0.890

Final energy = -2.7216 eV per atom
Crystal system = orthorhombic
Energy relative to the elements = -336.8 meV per atom
Calculated volume = 65 Å³ per cell
Spin magnetization = 0.000 Bohr magnetons per cell
Fermi-level density of states = 0.69 states/eV/f.u.
Theoretical density = 6.3 g cm⁻³